DFT (PBE-GGA) results for a relaxed TiFe3Pd crystal.

abc: 4.593 4.593 4.593
angles: 90.00 90.00 90.00
Fractional positions:
Ti (0.000, 0.000, 0.000)
Fe (0.000, 0.500, 0.500)
Fe (0.500, 0.000, 0.500)
Fe (0.500, 0.500, 0.000)
Pd (0.500, 0.500, 0.500)

Properties
calculated volume	96.9	Å³/cell
spin magnetization	7.3	μB/cell
offset from the most stable computed form	120	meV/atom
space-group type	Pm-3m, No. 221
crystal system	cubic
total DFT energy (no corrections)	-6.54	eV/atom